(1)
VASP calculation (GGA-PBE) on SbPRu2F after structural relaxation. Values from VASP.

```
&SYSTEM
  ibrav = 0, nat = 5, ntyp = 4
/
ATOMIC_SPECIES
Sb 121.76 Sb.upf
P 30.97 P.upf
Ru 101.07 Ru.upf
F 19.00 F.upf
CELL_PARAMETERS angstrom
4.9301 0.0000 0.0000
0.0000 4.9301 0.0000
0.0000 0.0000 4.0568
ATOMIC_POSITIONS crystal
Sb 0.0000 0.0000 0.0000
P 0.5000 0.5000 0.5000
Ru 0.0000 0.5000 0.0000
Ru 0.5000 0.0000 0.0000
F 0.0000 0.0000 0.5000
```

Computed properties:
Symmetry ... P4/mmm (123)
Uncorrected formation energy ... 73.5 kJ/mol of atoms
Total magnetization ... 2.3 μB/cell

---

(2)
VASP calculation (GGA-PBE) on SrPRuF after structural relaxation. Values from VASP.

```
&SYSTEM
  ibrav = 0, nat = 8, ntyp = 4
/
ATOMIC_SPECIES
Sr 87.62 Sr.upf
P 30.97 P.upf
Ru 101.07 Ru.upf
F 19.00 F.upf
CELL_PARAMETERS angstrom
4.0729 0.0000 0.0000
0.0000 4.0729 0.0000
0.0000 0.0000 8.6299
ATOMIC_POSITIONS crystal
Sr 0.2500 0.2500 0.1663
Sr 0.7500 0.7500 0.8337
P 0.2500 0.2500 0.6348
P 0.7500 0.7500 0.3652
Ru 0.2500 0.7500 0.5000
Ru 0.7500 0.2500 0.5000
F 0.2500 0.7500 0.0000
F 0.7500 0.2500 0.0000
```

Computed properties:
Symmetry ... P4/nmm (129)
Uncorrected formation energy ... -199.8 kJ/mol of atoms
Total magnetization ... 0.0 μB/cell

---

(3)
VASP calculation (GGA-PBE) on TbPRuF after structural relaxation. Values from VASP.

```
&SYSTEM
  ibrav = 0, nat = 8, ntyp = 4
/
ATOMIC_SPECIES
Tb 158.93 Tb.upf
P 30.97 P.upf
Ru 101.07 Ru.upf
F 19.00 F.upf
CELL_PARAMETERS angstrom
3.9680 0.0000 0.0000
0.0000 3.9680 0.0000
0.0000 0.0000 7.9590
ATOMIC_POSITIONS crystal
Tb 0.2500 0.2500 0.1882
Tb 0.7500 0.7500 0.8118
P 0.2500 0.2500 0.6575
P 0.7500 0.7500 0.3425
Ru 0.2500 0.7500 0.5000
Ru 0.7500 0.2500 0.5000
F 0.2500 0.7500 0.0000
F 0.7500 0.2500 0.0000
```

Computed properties:
Symmetry ... P4/nmm (129)
Uncorrected formation energy ... -196.5 kJ/mol of atoms
Total magnetization ... 0.0 μB/cell

---

(4)
VASP calculation (GGA-PBE) on TlPRu2F after structural relaxation. Values from VASP.

```
&SYSTEM
  ibrav = 0, nat = 5, ntyp = 4
/
ATOMIC_SPECIES
Tl 204.38 Tl.upf
P 30.97 P.upf
Ru 101.07 Ru.upf
F 19.00 F.upf
CELL_PARAMETERS angstrom
4.2228 0.0000 0.0000
0.0000 4.2228 0.0000
0.0000 0.0000 4.8626
ATOMIC_POSITIONS crystal
Tl 0.0000 0.0000 0.0000
P 0.5000 0.5000 0.0000
Ru 0.0000 0.5000 0.5000
Ru 0.5000 0.0000 0.5000
F 0.0000 0.0000 0.5000
```

Computed properties:
Symmetry ... P4/mmm (123)
Uncorrected formation energy ... 89.3 kJ/mol of atoms
Total magnetization ... 1.1 μB/cell

---

(5)
VASP calculation (GGA-PBE) on YPRu2F after structural relaxation. Values from VASP.

```
&SYSTEM
  ibrav = 0, nat = 5, ntyp = 4
/
ATOMIC_SPECIES
Y 88.91 Y.upf
P 30.97 P.upf
Ru 101.07 Ru.upf
F 19.00 F.upf
CELL_PARAMETERS angstrom
4.2576 0.0000 0.0000
0.0000 4.2576 0.0000
0.0000 0.0000 4.4832
ATOMIC_POSITIONS crystal
Y 0.0000 0.0000 0.0000
P 0.5000 0.5000 0.0000
Ru 0.0000 0.5000 0.5000
Ru 0.5000 0.0000 0.5000
F 0.0000 0.0000 0.5000
```

Computed properties:
Symmetry ... P4/mmm (123)
Uncorrected formation energy ... 3.7 kJ/mol of atoms
Total magnetization ... 1.0 μB/cell

---

(6)
VASP calculation (GGA-PBE) on PS2F after structural relaxation. Values from VASP.

```
&SYSTEM
  ibrav = 0, nat = 16, ntyp = 3
/
ATOMIC_SPECIES
P 30.97 P.upf
S 32.06 S.upf
F 19.00 F.upf
CELL_PARAMETERS angstrom
5.8890 0.0000 0.0000
0.0000 6.7941 0.0000
-5.2509 0.0000 10.1202
ATOMIC_POSITIONS crystal
P 0.2107 0.0060 0.4558
P 0.2107 0.4940 0.9558
P 0.7893 0.5060 0.0442
P 0.7893 0.9940 0.5442
S 0.0821 0.7141 0.0333
S 0.0821 0.7859 0.5333
S 0.4998 0.2021 0.5584
S 0.4998 0.2979 0.0584
S 0.5002 0.7021 0.9416
S 0.5002 0.7979 0.4416
S 0.9179 0.2141 0.4667
S 0.9179 0.2859 0.9667
F 0.0695 0.0274 0.2972
F 0.0695 0.4726 0.7972
F 0.9305 0.5274 0.2028
F 0.9305 0.9726 0.7028
```

Computed properties:
Symmetry ... P2_1/c (14)
Uncorrected formation energy ... -78.9 kJ/mol of atoms
Total magnetization ... 0.0 μB/cell

---

(7)
VASP calculation (GGA-PBE) on PSF3 after structural relaxation. Values from VASP.

```
&SYSTEM
  ibrav = 0, nat = 10, ntyp = 3
/
ATOMIC_SPECIES
P 30.97 P.upf
S 32.06 S.upf
F 19.00 F.upf
CELL_PARAMETERS angstrom
4.9899 0.0000 0.0000
0.0000 6.8667 0.0000
-0.0527 0.0000 6.0742
ATOMIC_POSITIONS crystal
P 0.0000 0.0000 0.0000
P 0.5000 0.5000 0.4210
S 0.0882 0.0000 0.3006
S 0.5844 0.5000 0.1209
F 0.0996 0.1737 0.8556
F 0.0996 0.8263 0.8556
F 0.1983 0.5000 0.4886
F 0.6013 0.3261 0.5660
F 0.6013 0.6739 0.5660
F 0.6973 0.0000 0.9309
```

Computed properties:
Symmetry ... Pm (6)
Uncorrected formation energy ... -187.2 kJ/mol of atoms
Total magnetization ... 0.0 μB/cell

---

(8)
VASP calculation (GGA-PBE) on PSF3 after structural relaxation. Values from VASP.

```
&SYSTEM
  ibrav = 0, nat = 5, ntyp = 3
/
ATOMIC_SPECIES
P 30.97 P.upf
S 32.06 S.upf
F 19.00 F.upf
CELL_PARAMETERS angstrom
4.2531 0.0000 0.0000
0.0000 4.2531 0.0000
0.0000 0.0000 4.2531
ATOMIC_POSITIONS crystal
P 0.0000 0.0000 0.0000
S 0.5000 0.5000 0.5000
F 0.0000 0.5000 0.5000
F 0.5000 0.0000 0.5000
F 0.5000 0.5000 0.0000
```

Computed properties:
Symmetry ... Pm-3m (221)
Uncorrected formation energy ... 9.4 kJ/mol of atoms
Total magnetization ... 2.1 μB/cell

---

(9)
VASP calculation (GGA-PBE) on PS2F after structural relaxation. Values from VASP.

```
&SYSTEM
  ibrav = 0, nat = 4, ntyp = 3
/
ATOMIC_SPECIES
P 30.97 P.upf
S 32.06 S.upf
F 19.00 F.upf
CELL_PARAMETERS angstrom
1.3728 0.7926 8.1788
-1.3728 0.7926 8.1788
0.0000 -1.5852 8.1788
ATOMIC_POSITIONS crystal
P 0.0000 0.0000 0.0000
S 0.0879 0.0879 0.0879
S 0.9121 0.9121 0.9121
F 0.5000 0.5000 0.5000
```

Computed properties:
Symmetry ... R-3m (166)
Uncorrected formation energy ... 29.9 kJ/mol of atoms
Total magnetization ... 0.0 μB/cell

---

(10)
VASP calculation (GGA-PBE) on PSF3 after structural relaxation. Values from VASP.

```
&SYSTEM
  ibrav = 0, nat = 5, ntyp = 3
/
ATOMIC_SPECIES
P 30.97 P.upf
S 32.06 S.upf
F 19.00 F.upf
CELL_PARAMETERS angstrom
4.1190 0.0000 0.0000
0.0000 4.1190 0.0000
0.0000 0.0000 4.1190
ATOMIC_POSITIONS crystal
P 0.0000 0.0000 0.0000
S 0.5000 0.5000 0.5000
F 0.0000 0.0000 0.5000
F 0.0000 0.5000 0.0000
F 0.5000 0.0000 0.0000
```

Computed properties:
Symmetry ... Pm-3m (221)
Uncorrected formation energy ... -55.6 kJ/mol of atoms
Total magnetization ... 2.0 μB/cell

---

(11)
VASP calculation (GGA-PBE) on PSF2 after structural relaxation. Values from VASP.

```
&SYSTEM
  ibrav = 0, nat = 4, ntyp = 3
/
ATOMIC_SPECIES
P 30.97 P.upf
S 32.06 S.upf
F 19.00 F.upf
CELL_PARAMETERS angstrom
0.0000 2.9274 2.9274
2.9274 0.0000 2.9274
2.9274 2.9274 0.0000
ATOMIC_POSITIONS crystal
P 0.0000 0.0000 0.0000
S 0.5000 0.5000 0.5000
F 0.2500 0.2500 0.2500
F 0.7500 0.7500 0.7500
```

Computed properties:
Symmetry ... Fm-3m (225)
Uncorrected formation energy ... 18.0 kJ/mol of atoms
Total magnetization ... 0.4 μB/cell

---

(12)
VASP calculation (GGA-PBE) on PSF2 after structural relaxation. Values from VASP.

```
&SYSTEM
  ibrav = 0, nat = 4, ntyp = 3
/
ATOMIC_SPECIES
P 30.97 P.upf
S 32.06 S.upf
F 19.00 F.upf
CELL_PARAMETERS angstrom
1.3377 0.7723 9.4288
-1.3377 0.7723 9.4288
0.0000 -1.5446 9.4288
ATOMIC_POSITIONS crystal
P 0.0000 0.0000 0.0000
S 0.5000 0.5000 0.5000
F 0.4394 0.4394 0.4394
F 0.5606 0.5606 0.5606
```

Computed properties:
Symmetry ... R-3m (166)
Uncorrected formation energy ... -39.1 kJ/mol of atoms
Total magnetization ... 0.0 μB/cell

---

- Among the records above, which one has the lowest uncorrected formation energy?
  SrPRuF

---

- What is the uncorrected formation energy in the seventh record?
  -187.2 kJ/mol of atoms